Compound: SrLa2Er
Source: Alexandria via LeMat-Bulk
Functional: GGA-PBE
Structure: optimized geometry

a b c (Å): 6.021 6.021 6.021
angles (deg): 60.00 60.00 60.00
Fractional positions:
Sr 0.000 0.000 0.000
La 0.250 0.250 0.250
Er 0.500 0.500 0.500
La 0.750 0.750 0.750

Summary:
The value obtained for the offset from the most stable computed form is 93 meV per atom. The space group is No. 225. As for the formation energy: 0.75 eV/f.u.